Record 1
The following is a DFT calculation (PBE-GGA) of an optimized crystal structure of BaTcMo2.

Summary:
Energy of formation from the pure elements = 0.6930 eV per atom
Symmetry = P4mm
Energy above the lowest structure with this stoichiometry = 0.000 eV per atom

Unit cell a=3.272 b=3.272 c=8.068 alpha=90.00 beta=90.00 gamma=90.00
Element x y z (fractional)
Ba  0.500  0.500  0.744
Mo  0.000  0.000  0.085
Mo  0.500  0.500  0.255
Tc  0.000  0.000  0.416

=====

Record 2
The following is a DFT calculation (PBE-GGA) of an optimized crystal structure of CsHS2Cl.

Summary:
Symmetry = P4/mmm
Energy above the lowest structure with this stoichiometry = 0.000 eV per atom

Unit cell a=4.189 b=4.189 c=7.549 alpha=90.00 beta=90.00 gamma=90.00
Element x y z (fractional)
Cs  0.500  0.500  0.500
H  0.000  0.000  0.000
S  0.000  0.500  0.000
S  0.500  0.000  0.000
Cl  0.000  0.000  0.500

=====

Record 3
The following is a DFT calculation (PBE-GGA) of an optimized crystal structure of Bi2SO2.

Summary:
Symmetry = C2/c
Energy relative to the elements, uncorrected = -0.8738 eV/atom

Unit cell a=6.246 b=6.247 c=6.638 alpha=116.99 beta=108.18 gamma=100.71
Element x y z (fractional)
Bi  0.815  0.171  0.181
Bi  0.510  0.366  0.681
Bi  0.490  0.634  0.319
Bi  0.185  0.829  0.819
S  0.138  0.888  0.250
S  0.862  0.112  0.750
O  0.466  0.224  0.988
O  0.263  0.521  0.487
O  0.534  0.776  0.012
O  0.737  0.479  0.513

=====

Record 4
The following is a DFT calculation (PBE-GGA) of an optimized crystal structure of TlTc2Se.

Summary:
Symmetry = C2/m
Energy above the lowest structure with this stoichiometry = 0.666 eV per atom
Energy relative to the elements, uncorrected = 0.8732 eV/atom

Unit cell a=5.366 b=5.366 c=3.090 alpha=74.26 beta=74.26 gamma=111.70
Each line ends with the local moment (μB).
Element x y z (fractional)
Se  0.000  0.500  0.500  0.05
Tc  0.000  0.000  0.000  0.73
Tc  0.500  0.500  0.000  0.73
Tl  0.500  0.000  0.500  0.00

=====

Record 5
The following is a DFT calculation (PBE-GGA) of an optimized crystal structure of ScTa2Be.

Summary:
Energy of formation from the pure elements = 0.1254 eV per atom
Symmetry = P4mm

Unit cell a=2.868 b=2.868 c=8.249 alpha=90.00 beta=90.00 gamma=90.04
Element x y z (fractional)
Sc  0.500  0.500  0.716
Be  0.000  0.000  0.489
Ta  0.000  0.000  0.005
Ta  0.500  0.500  0.290

=====

Record 6
The following is a DFT calculation (PBE-GGA) of an optimized crystal structure of AlSb2Te.

Summary:
Symmetry = R3m
Energy above the lowest structure with this stoichiometry = 0.000 eV per atom
Energy relative to the elements, uncorrected = -0.0871 eV/atom

Unit cell a=8.428 b=8.428 c=8.428 alpha=28.32 beta=28.32 gamma=28.32
Element x y z (fractional)
Sb  0.003  0.003  0.003
Sb  0.266  0.266  0.266
Te  0.477  0.477  0.477
Al  0.754  0.754  0.754